Record 1
The following is a PBE calculation of Pr5AgTe4 after structural relaxation, from Alexandria.

Energy   -5.13 eV per atom
Density   6.78 g cm⁻³
Density of states at the Fermi level   6.4 states/eV per cell
ΔE_f (raw)   -1.203 eV per atom
E above lowest polymorph   0.000 eV/atom

Cell lengths 6.4101, 7.7963, 7.7963 Å; angles 80.27, 65.73, 65.73 degrees
Atoms (fractional coordinates):
Pr: 0.1020 0.6036 0.1942
Pr: 0.2962 0.8058 0.6036
Pr: 0.7056 0.1942 0.3964
Pr: 0.5014 0.0000 0.0000
Pr: 0.8998 0.3964 0.8058
Te: 0.4047 0.3984 0.7940
Te: 0.5971 0.6016 0.2060
Te: 0.1987 0.2060 0.3984
Te: 0.8032 0.7940 0.6016
Ag: 0.0016 0.0000 0.0000

=====

Record 2
The following is a PBE calculation of TbNdPSe after structural relaxation, from Alexandria.

Energy   -6.30 eV per atom
Density   6.78 g cm⁻³
Density of states at the Fermi level   2.6 states/eV per cell
ΔE_f (raw)   -1.726 eV per atom

Cell lengths 4.0490, 4.0498, 7.4962 Å; angles 90.00, 105.66, 120.00 degrees
Atoms (fractional coordinates):
Se: 0.9613 0.3787 0.3551
Tb: 0.1187 0.9573 0.0913
P: 0.3113 0.5536 0.8801
Nd: 0.4867 0.1413 0.6432

=====

Record 3
The following is a PBE calculation of Li4TmTl7 after structural relaxation, from Alexandria.

Energy   -2.46 eV per atom
Density   8.82 g cm⁻³
Density of states at the Fermi level   7.0 states/eV per cell
E_form   -0.073 eV/atom

Cell lengths 5.7560, 8.4611, 7.6265 Å; angles 65.99, 67.83, 70.11 degrees
Atoms (fractional coordinates):
Li: 0.5275 0.3040 0.6410
Li: 0.6881 0.6707 0.9532
Li: 0.4725 0.6960 0.3590
Li: 0.3119 0.3293 0.0468
Tl: 0.2688 0.6889 0.7735
Tl: 0.7312 0.3111 0.2265
Tl: 0.8059 0.8788 0.5094
Tl: 0.1941 0.1212 0.4906
Tl: 0.0765 0.5856 0.2613
Tl: 0.9235 0.4144 0.7387
Tl: 0.5000 0.0000 0.0000
Tm: 0.0000 0.0000 0.0000

=====

Record 4
The following is a PBE calculation of HoCd3 after structural relaxation, from Alexandria.

Energy   -2.07 eV per atom
Density   8.70 g cm⁻³
Density of states at the Fermi level   2.4 states/eV per cell
E_form   -0.237 eV/atom

Cell lengths 4.4872, 4.7583, 4.4909 Å; angles 90.00, 90.00, 90.00 degrees
Atoms (fractional coordinates):
Cd: 0.0000 0.0000 0.9166
Cd: 0.5000 0.0000 0.4166
Cd: 0.5000 0.5000 0.9167
Ho: 0.0000 0.5000 0.4167